A plane-wave DFT calculation with PBE was carried out for a relaxed BaInBi2Te crystal.

Summary:
total DFT energy (no corrections) = -2.62 eV per atom
crystal system = tetragonal
spin magnetization = 0.000 Bohr magnetons per cell

Cell: 6.435 6.419 6.435 Å, 90.00 90.00 90.00°
Element x y z (fractional)
1 In 0.500 0.500 0.500
2 Bi 0.000 0.000 0.500
3 Bi 0.500 0.000 0.000
4 Te 0.000 0.500 0.000
5 Ba 0.000 0.000 0.000